Entry 1:
First-principles (PBE) data for crystalline Nb2MoW2 at its relaxed geometry, as listed in Alexandria via LeMat-Bulk.

Offset from the most stable computed form in eV/f.u.: 0.43
Space-group type: No. 65
ΔH_f (0 K) in meV/atom: 414

```
5
Lattice="3.022 0.000 -0.831 0.000 4.557 0.000 0.199 0.000 6.634" Properties=species:S:1:pos:R:3 pbc="T T T"
W 2.082 0.000 1.662
W 1.139 0.000 4.141
Nb 0.490 2.279 1.782
Nb 2.731 2.279 4.022
Mo 0.000 0.000 0.000
```

=====

Entry 2:
First-principles (PBE) data for crystalline Er2Si3GePt4 at its relaxed geometry, as listed in Alexandria via LeMat-Bulk.

Space-group type: No. 115
Formation energy without anion corrections in meV per atom: -1011.4

```
10
Lattice="4.207 0.000 0.000 0.000 4.207 0.000 0.000 0.000 9.961" Properties=species:S:1:pos:R:3 pbc="T T T"
Pt 0.000 0.000 0.000
Pt 2.103 0.000 6.301
Pt 2.103 2.103 0.000
Pt 0.000 2.103 3.659
Ge 2.103 2.103 4.980
Er 0.000 2.103 7.496
Er 2.103 0.000 2.465
Si 0.000 2.103 1.302
Si 2.103 0.000 8.659
Si 0.000 0.000 4.980
```

=====

Entry 3:
First-principles (PBE) data for crystalline MnPd3Au5 at its relaxed geometry, as listed in Alexandria via LeMat-Bulk.

Space-group type: No. 12
ΔH_f (0 K) in meV/atom: 192

```
18
Lattice="5.868 -0.478 -0.404 1.147 5.775 -0.404 1.784 1.347 10.068" Properties=species:S:1:pos:R:3 pbc="T T T"
Mn 1.562 1.179 7.440
Mn 7.237 5.465 1.821
Pd 3.015 2.277 5.202
Pd 0.892 0.674 5.034
Pd 5.784 4.367 4.058
Pd 6.849 5.171 8.219
Pd 1.950 1.473 1.041
Pd 0.000 0.000 0.000
Au 3.474 2.623 8.382
Au 4.728 0.740 6.475
Au 2.693 3.728 -0.404
Au 4.322 1.569 -0.404
Au 4.071 5.904 2.785
Au 5.325 4.021 0.878
Au 5.033 3.801 6.569
Au 3.766 2.843 2.691
Au 6.793 2.300 2.785
Au 2.006 4.345 6.475
```

=====

Entry 4:
First-principles (PBE) data for crystalline NiPbCl at its relaxed geometry, as listed in Alexandria via LeMat-Bulk.

Offset from the most stable computed form in eV/f.u.: 0.32
Space-group type: No. 42
Formation energy without anion corrections in meV per atom: -21.3

```
3
Lattice="-1.744 -5.879 2.368 1.651 -5.271 2.881 -1.804 0.321 2.966" Properties=species:S:1:pos:R:3 pbc="T T T"
Pb -1.290 -3.127 3.653
Cl -1.724 -0.219 3.074
Ni -0.688 -7.161 4.455
```

=====

Entry 5:
First-principles (PBE) data for crystalline YTaMo2 at its relaxed geometry, as listed in Alexandria via LeMat-Bulk.

Offset from the most stable computed form in eV/f.u.: 0.44
Space-group type: No. 6
ΔH_f (0 K) in meV/atom: 312

```
4
Lattice="4.466 0.000 0.000 0.000 2.990 -0.005 0.000 1.236 5.756" Properties=species:S:1:pos:R:3 pbc="T T T"
Y 2.233 3.222 4.353
Ta 0.000 1.989 2.653
Mo 0.000 0.126 0.214
Mo 2.233 1.002 1.406
```

=====

Entry 6:
First-principles (PBE) data for crystalline Ti2AlZn2 at its relaxed geometry, as listed in Alexandria via LeMat-Bulk.

Offset from the most stable computed form in eV/f.u.: 0.00
Space-group type: No. 65
ΔH_f (0 K) in meV/atom: -277

```
5
Lattice="-0.399 -1.545 2.375 -3.060 -2.160 -1.919 5.876 -3.231 -1.116" Properties=species:S:1:pos:R:3 pbc="T T T"
Ti -0.785 -2.789 -0.223
Ti 3.203 -4.147 -0.437
Zn 1.076 -3.665 -2.204
Zn 1.740 -1.726 -0.831
Al 0.000 0.000 0.000
```

=====

Entry 7:
First-principles (PBE) data for crystalline BeReAu at its relaxed geometry, as listed in Alexandria via LeMat-Bulk.

Offset from the most stable computed form in eV/f.u.: 0.79
Space-group type: No. 187
ΔH_f (0 K) in meV/atom: 505

```
3
Lattice="-3.878 -0.696 1.373 2.132 -3.062 -1.869 1.022 -0.803 2.480" Properties=species:S:1:pos:R:3 pbc="T T T"
Be 0.298 -2.406 -0.377
Au 0.171 -0.134 0.414
Re -1.193 -2.020 1.947
```

=====

Entry 8:
First-principles (PBE) data for crystalline CaY2Be at its relaxed geometry, as listed in Alexandria via LeMat-Bulk.

Space-group type: No. 71
ΔH_f (0 K) in meV/atom: 187

```
4
Lattice="6.621 -0.005 0.001 5.665 3.427 0.001 2.218 0.618 4.905" Properties=species:S:1:pos:R:3 pbc="T T T"
Ca 3.626 1.010 1.227
Y 6.724 1.873 2.711
Y 2.746 0.765 4.648
Be 10.878 3.029 3.680
```

=====

The records above yield calculated volume values of 18.423 17.627 19.653 22.321 19.221 15.567 14.075 27.857 Å³ per atom, respectively.